1.
Computed, not measured: an optimized crystal structure of Sb3Pd12Pt at the GGA-PBE level of DFT.

Cell and atoms, written as CIF:
```
data_Sb3Pd12Pt
_cell_length_a 4.020
_cell_length_b 4.020
_cell_length_c 16.205
_cell_angle_alpha 90.00
_cell_angle_beta 90.00
_cell_angle_gamma 90.00
_space_group_name_H-M_alt 'P 4/m m m'
_space_group_IT_number 123
_space_group_name_Hall '-P 4 2'
loop_
_atom_site_label
_atom_site_fract_x
_atom_site_fract_y
_atom_site_fract_z
_atom_site_occupancy
Sb1 0.000 0.000 0.000 1
Sb2 0.000 0.000 0.262 1
Pd1 0.000 0.500 0.124 1
Pd2 0.000 0.500 0.377 1
Pd3 0.500 0.500 0.000 1
Pd4 0.500 0.500 0.247 1
Pd5 0.500 0.500 0.500 1
Pt1 0.000 0.000 0.500 1
```

Results
VASP energy   -5.35 eV per atom

---

2.
Computed, not measured: an optimized crystal structure of LaNd4Er2 at the GGA-PBE level of DFT.

Cell and atoms, written as CIF:
```
data_LaNd4Er2
_cell_length_a 6.949
_cell_length_b 11.558
_cell_length_c 12.263
_cell_angle_alpha 90.00
_cell_angle_beta 90.00
_cell_angle_gamma 90.00
_space_group_name_H-M_alt 'I m m a'
_space_group_IT_number 74
_space_group_name_Hall '-I 2b 2'
loop_
_atom_site_label
_atom_site_fract_x
_atom_site_fract_y
_atom_site_fract_z
_atom_site_occupancy
La1 0.000 0.000 0.000 1
Nd1 0.000 0.006 0.354 1
Nd2 0.219 0.250 0.510 1
Er1 0.000 0.250 0.779 1
Er2 0.250 0.250 0.250 1
```

Results
VASP energy   -4.51 eV per atom
ΔH_f (0 K)   0.22 eV per atom
Excess energy over the best structure of this formula in the dataset   150 meV per atom

---

3.
Computed, not measured: an optimized crystal structure of CaRePb2 at the GGA-PBE level of DFT.

Cell and atoms, written as CIF:
```
data_CaRePb2
_cell_length_a 6.485
_cell_length_b 8.713
_cell_length_c 3.421
_cell_angle_alpha 90.00
_cell_angle_beta 101.36
_cell_angle_gamma 90.00
_space_group_name_H-M_alt 'C 1 2/m 1'
_space_group_IT_number 12
loop_
_space_group_symop_operation_xyz
'x,y,z'
'-x,-y,-z'
'-x,y,-z'
'x,-y,z'
'x+1/2,y+1/2,z'
'-x+1/2,-y+1/2,-z'
'-x+1/2,y+1/2,-z'
'x+1/2,-y+1/2,z'
loop_
_atom_site_label
_atom_site_fract_x
_atom_site_fract_y
_atom_site_fract_z
_atom_site_occupancy
Ca1 0.000 0.000 0.000 1
Re1 0.000 0.500 0.000 1
Pb1 0.250 0.250 0.500 1
```

Results
VASP energy   -4.79 eV per atom
ΔH_f (0 K)   0.67 eV per atom
Excess energy over the best structure of this formula in the dataset   293 meV per atom

---

4.
Computed, not measured: an optimized crystal structure of TeP at the GGA-PBE level of DFT.

Cell and atoms, written as CIF:
```
data_TeP
_cell_length_a 4.032
_cell_length_b 4.032
_cell_length_c 5.719
_cell_angle_alpha 90.00
_cell_angle_beta 90.00
_cell_angle_gamma 90.00
_space_group_name_H-M_alt 'I 4/m m m'
_space_group_IT_number 139
_space_group_name_Hall '-I 4 2'
loop_
_atom_site_label
_atom_site_fract_x
_atom_site_fract_y
_atom_site_fract_z
_atom_site_occupancy
Te1 0.000 0.000 0.000 1
P1 0.000 0.000 0.500 1
```

Results
VASP energy   -3.98 eV per atom

---

What is the VASP energy in the fourth record? -3.98 eV per atom

---

Which of these has the highest VASP energy? TeP

---

The lowest VASP energy belongs to which entry? Sb3Pd12Pt